The following is a PBE calculation of a relaxed structure of AlCrCo, from the Alexandria database.

Properties
The density of states at the Fermi level comes out at 3.469 states/eV per cell. The size of the total moment is 0.0057 μB/atom. Its space-group type is I4mm (107).

CIF file:
```
data_AlCrCo
_symmetry_space_group_name_H-M 'P 1'
_symmetry_Int_Tables_number 1
_cell_length_a 2.6758
_cell_length_b 2.6758
_cell_length_c 9.9490
_cell_angle_alpha 90.00
_cell_angle_beta 90.00
_cell_angle_gamma 90.00
loop_
_symmetry_equiv_pos_as_xyz
'x,y,z'
loop_
_atom_site_label
_atom_site_type_symbol
_atom_site_fract_x
_atom_site_fract_y
_atom_site_fract_z
Al1 Al 0.0000 0.0000 0.0000
Al2 Al 0.5000 0.5000 0.5000
Cr1 Cr 0.0000 0.0000 0.6832
Cr2 Cr 0.5000 0.5000 0.1832
Co1 Co 0.0000 0.0000 0.3365
Co2 Co 0.5000 0.5000 0.8365
```

The following is a PBE calculation of a relaxed structure of AlCr3Co, from the Alexandria database.

Properties
The value obtained for the energy above the lowest structure with this stoichiometry is 0 meV/atom. The density of states at the Fermi level comes out at 6.242 states/eV per cell. The size of the total moment is 0.8636 μB/atom. Its space-group type is Pm-3m (221).

CIF file:
```
data_AlCr3Co
_symmetry_space_group_name_H-M 'P 1'
_symmetry_Int_Tables_number 1
_cell_length_a 4.2558
_cell_length_b 4.2558
_cell_length_c 4.2558
_cell_angle_alpha 90.00
_cell_angle_beta 90.00
_cell_angle_gamma 90.00
loop_
_symmetry_equiv_pos_as_xyz
'x,y,z'
loop_
_atom_site_label
_atom_site_type_symbol
_atom_site_fract_x
_atom_site_fract_y
_atom_site_fract_z
Al1 Al 0.0000 0.0000 0.0000
Cr1 Cr 0.0000 0.5000 0.5000
Cr2 Cr 0.5000 0.0000 0.5000
Cr3 Cr 0.5000 0.5000 0.0000
Co1 Co 0.5000 0.5000 0.5000
```

| no. | formation energy from the elements (eV/atom) |
| --- | --- |
| 1 | -0.19 |
| 2 | 1.01 |